(1)
# PBE-GGA La2HfTlC, optimized geometry
# - formation energy from the elements (eV per atom) = -0.222
data_La2HfTlC
_symmetry_space_group_name_H-M 'P 1'
_symmetry_Int_Tables_number 1
_symmetry_space_group_name_Hall 'P 1'
_cell_length_a 5.304
_cell_length_b 5.304
_cell_length_c 4.536
_cell_angle_alpha 90.00
_cell_angle_beta 90.00
_cell_angle_gamma 90.00
loop_
_atom_site_label
_atom_site_fract_x
_atom_site_fract_y
_atom_site_fract_z
Tl1 0.500 0.500 0.500
C1 0.000 0.000 0.000
La1 0.000 0.500 0.000
La2 0.500 0.000 0.000
Hf1 0.000 0.000 0.500


(2)
# PBE-GGA Zr3FeAu, optimized geometry
# - polymorph energy (0 for the lowest one) (meV/atom) = 392
# - formation energy from the elements (eV per atom) = 0.131
data_Zr3FeAu
_symmetry_space_group_name_H-M 'P 1'
_symmetry_Int_Tables_number 1
_symmetry_space_group_name_Hall 'P 1'
_cell_length_a 4.782
_cell_length_b 4.782
_cell_length_c 4.782
_cell_angle_alpha 90.00
_cell_angle_beta 90.00
_cell_angle_gamma 90.00
loop_
_atom_site_label
_atom_site_fract_x
_atom_site_fract_y
_atom_site_fract_z
Zr1 0.000 0.000 0.500
Au1 0.500 0.500 0.500
Zr2 0.500 0.000 0.000
Zr3 0.000 0.500 0.000
Fe1 0.000 0.000 0.000


(3)
# PBE-GGA Tb2PrCrN4, optimized geometry
# - ΔE_f (raw) (eV/atom) = -1.215
data_Tb2PrCrN4
_symmetry_space_group_name_H-M 'P 1'
_symmetry_Int_Tables_number 1
_symmetry_space_group_name_Hall 'P 1'
_cell_length_a 3.434
_cell_length_b 6.091
_cell_length_c 11.694
_cell_angle_alpha 90.00
_cell_angle_beta 90.00
_cell_angle_gamma 106.38
loop_
_atom_site_label
_atom_site_fract_x
_atom_site_fract_y
_atom_site_fract_z
Tb1 0.631 0.262 0.457
N1 0.582 0.163 0.250
N2 0.418 0.837 0.750
Cr1 0.831 0.662 0.750
Tb2 0.631 0.262 0.043
Tb3 0.369 0.738 0.957
N3 0.000 0.000 0.500
N4 0.265 0.529 0.372
N5 0.735 0.471 0.628
N6 0.265 0.529 0.128
Pr1 0.906 0.812 0.250
Tb4 0.369 0.738 0.543
N7 0.735 0.471 0.872
Cr2 0.169 0.338 0.250
Pr2 0.094 0.188 0.750
N8 0.000 0.000 0.000


(4)
# PBE-GGA CeDy3Tl4Se8, optimized geometry
# - ΔE_f (raw) (eV/atom) = -1.367
data_CeDy3Tl4Se8
_symmetry_space_group_name_H-M 'P 1'
_symmetry_Int_Tables_number 1
_symmetry_space_group_name_Hall 'P 1'
_cell_length_a 8.458
_cell_length_b 9.174
_cell_length_c 8.458
_cell_angle_alpha 117.46
_cell_angle_beta 120.00
_cell_angle_gamma 90.00
loop_
_atom_site_label
_atom_site_fract_x
_atom_site_fract_y
_atom_site_fract_z
Se1 0.272 0.294 0.033
Se2 0.761 0.294 0.522
Tl1 0.000 0.000 0.000
Dy1 0.500 0.500 0.500
Dy2 0.000 0.500 0.500
Se3 0.728 0.706 0.967
Se4 0.761 0.294 0.033
Se5 0.266 0.297 0.531
Dy3 0.500 0.500 0.000
Ce1 0.000 0.500 0.000
Tl2 0.500 0.000 0.500
Se6 0.239 0.706 0.478
Se7 0.239 0.706 0.967
Tl3 0.500 0.000 0.000
Se8 0.734 0.703 0.469
Tl4 0.000 0.000 0.500